RbGa2SnOs: optimized geometry, PBE.

## Properties
Its density of states at the Fermi level is 2.9 states/eV/f.u. The calculated total energy is -4.480 eV/atom. The calculation puts the energy of formation from the pure elements at -0.029 eV/atom. The magnetization comes out at 0.00 Bohr magnetons per cell.

Cell lengths 4.9454, 4.9454, 5.2363 Å; angles 90.00, 90.00, 90.00 degrees
Element x y z (fractional)
Ga 0.0000 0.5000 0.0000
Ga 0.5000 0.0000 0.0000
Sn 0.0000 0.0000 0.5000
Rb 0.5000 0.5000 0.5000
Os 0.0000 0.0000 0.0000

DyErPd2: optimized geometry, PBE.

## Properties
Its density of states at the Fermi level is 3.3 states/eV/f.u. The calculated total energy is -5.819 eV/atom. The calculation puts the energy of formation from the pure elements at -0.931 eV/atom. The magnetization comes out at 0.00 Bohr magnetons per cell.

Cell lengths 3.7326, 4.5190, 5.5843 Å; angles 90.00, 109.58, 90.00 degrees
Element x y z (fractional)
Pd 0.1700 0.5000 0.8784
Pd 0.9963 0.0000 0.5319
Dy 0.4449 0.5000 0.4287
Er 0.7199 0.0000 0.9790

Dy6TmTe8: optimized geometry, PBE.

## Properties
Its density of states at the Fermi level is 6.7 states/eV/f.u. The calculated total energy is -5.166 eV/atom. The magnetization comes out at 0.00 Bohr magnetons per cell. Its uncorrected formation energy is -1.351 eV per atom.

Cell lengths 8.6688, 8.6688, 8.6688 Å; angles 60.00, 60.00, 60.00 degrees
Element x y z (fractional)
Te 0.7500 0.7500 0.7500
Te 0.2534 0.7466 0.2534
Te 0.7466 0.2534 0.2534
Te 0.2534 0.2534 0.7466
Te 0.2500 0.2500 0.2500
Te 0.7466 0.7466 0.2534
Te 0.2534 0.7466 0.7466
Te 0.7466 0.2534 0.7466
Dy 0.5000 0.5000 0.0000
Dy 0.5000 0.0000 0.5000
Dy 0.0000 0.5000 0.0000
Dy 0.5000 0.0000 0.0000
Dy 0.0000 0.0000 0.5000
Dy 0.0000 0.5000 0.5000
Tm 0.0000 0.0000 0.0000

BaSrMg2Pb2: optimized geometry, PBE.

## Properties
Its density of states at the Fermi level is 1.6 states/eV/f.u. The calculated total energy is -2.798 eV/atom. The calculation puts the energy of formation from the pure elements at -0.430 eV/atom. The magnetization comes out at 0.00 Bohr magnetons per cell.

Cell lengths 5.1580, 5.1580, 8.6238 Å; angles 90.00, 90.00, 120.00 degrees
Element x y z (fractional)
Mg 0.3333 0.6667 0.6963
Mg 0.6667 0.3333 0.3037
Ba 0.0000 0.0000 0.0000
Pb 0.3333 0.6667 0.2688
Pb 0.6667 0.3333 0.7312
Sr 0.0000 0.0000 0.5000

Ce2GaCo: optimized geometry, PBE.

## Properties
Its density of states at the Fermi level is 8.4 states/eV/f.u. The calculated total energy is -5.347 eV/atom. The calculation puts the energy of formation from the pure elements at 0.153 eV/atom. The magnetization comes out at 1.71 Bohr magnetons per cell.

Cell lengths 3.5664, 3.5664, 9.8565 Å; angles 79.58, 79.58, 60.00 degrees
Each line ends with the local moment (μB).
Element x y z (fractional)
Ce 0.1093 0.1093 0.6721  0.68
Ce 0.8907 0.8907 0.3279  0.68
Ga 0.0000 0.0000 0.0000  0.01
Co 0.5000 0.5000 0.5000  -0.15

LaNbPb2O6: optimized geometry, PBE.

## Properties
Its density of states at the Fermi level is 0.0 states/eV/f.u. The calculated total energy is -7.424 eV/atom. The magnetization comes out at 0.00 Bohr magnetons per cell. Its uncorrected formation energy is -2.208 eV per atom.

Cell lengths 5.9480, 6.1614, 8.5705 Å; angles 90.00, 89.68, 90.00 degrees
Element x y z (fractional)
La 0.5000 0.0000 0.0000
La 0.0000 0.5000 0.5000
O 0.3298 0.7224 0.4468
O 0.3996 0.9676 0.7272
O 0.6702 0.2776 0.5532
O 0.2819 0.6764 0.0466
O 0.7181 0.3236 0.9534
O 0.6004 0.0324 0.2728
O 0.8298 0.7776 0.9468
O 0.2181 0.1764 0.4534
O 0.1004 0.4676 0.7728
O 0.1702 0.2224 0.0532
O 0.8996 0.5324 0.2272
O 0.7819 0.8236 0.5466
Pb 0.9929 0.0335 0.7467
Pb 0.5071 0.5335 0.7533
Pb 0.0071 0.9665 0.2533
Pb 0.4929 0.4665 0.2467
Nb 0.0000 0.5000 0.0000
Nb 0.5000 0.0000 0.5000

MgI2: optimized geometry, PBE.

## Properties
Its density of states at the Fermi level is 0.0 states/eV/f.u. The calculated total energy is -2.610 eV/atom. The magnetization comes out at 0.00 Bohr magnetons per cell. Its uncorrected formation energy is -1.045 eV per atom.

Cell lengths 4.2034, 4.2034, 23.7006 Å; angles 90.00, 90.00, 120.00 degrees
Element x y z (fractional)
I 0.0000 0.0000 0.7375
I 0.3333 0.6667 0.0707
I 0.6667 0.3333 0.5961
I 0.3333 0.6667 0.4039
I 0.6667 0.3333 0.9293
I 0.0000 0.0000 0.2625
Mg 0.0000 0.0000 0.0000
Mg 0.6667 0.3333 0.3332
Mg 0.3333 0.6667 0.6668

NaHoHgAu: optimized geometry, PBE.

## Properties
Its density of states at the Fermi level is 2.8 states/eV/f.u. The calculated total energy is -2.806 eV/atom. The calculation puts the energy of formation from the pure elements at -0.437 eV/atom. The magnetization comes out at 0.00 Bohr magnetons per cell.

Cell lengths 5.0613, 5.0613, 5.0613 Å; angles 60.00, 60.00, 60.00 degrees
Element x y z (fractional)
Hg 0.5000 0.5000 0.5000
Au 0.0000 0.0000 0.0000
Na 0.7500 0.7500 0.7500
Ho 0.2500 0.2500 0.2500

V2TcHPt: optimized geometry, PBE.

## Properties
Its density of states at the Fermi level is 5.5 states/eV/f.u. The calculated total energy is -7.894 eV/atom. The magnetization comes out at 0.00 Bohr magnetons per cell.

Cell lengths 3.9367, 3.9367, 3.7777 Å; angles 90.00, 90.00, 90.00 degrees
Element x y z (fractional)
H 0.0000 0.0000 0.0000
V 0.0000 0.5000 0.0000
V 0.5000 0.0000 0.0000
Tc 0.0000 0.0000 0.5000
Pt 0.5000 0.5000 0.5000

KCdPS2: optimized geometry, PBE.

## Properties
Its density of states at the Fermi level is 7.1 states/eV/f.u. The calculated total energy is -1.878 eV/atom. The magnetization comes out at 5.04 Bohr magnetons per cell. Its uncorrected formation energy is 1.257 eV per atom.

Cell lengths 5.7557, 5.7557, 6.0125 Å; angles 90.00, 90.00, 90.00 degrees
Each line ends with the local moment (μB).
Element x y z (fractional)
Cd 0.5000 0.5000 0.5000  0.01
S 0.0000 0.5000 0.0000  0.75
S 0.5000 0.0000 0.0000  0.75
K 0.0000 0.0000 0.0000  0.04
P 0.0000 0.0000 0.5000  1.04

LuZnCd: optimized geometry, PBE.

## Properties
Its density of states at the Fermi level is 1.8 states/eV/f.u. The calculated total energy is -2.525 eV/atom. The calculation puts the energy of formation from the pure elements at -0.288 eV/atom. The magnetization comes out at 0.00 Bohr magnetons per cell.

Cell lengths 3.3645, 4.6972, 4.6972 Å; angles 120.00, 90.00, 90.00 degrees
Element x y z (fractional)
Cd 0.1669 0.0000 0.0000
Lu 0.6667 0.6667 0.3333
Zn 0.1663 0.3333 0.6667

Tm3Sc3Al2Fe: optimized geometry, PBE.

## Properties
Its density of states at the Fermi level is 10.3 states/eV/f.u. The calculated total energy is -5.601 eV/atom. The calculation puts the energy of formation from the pure elements at -0.228 eV/atom. The magnetization comes out at 0.06 Bohr magnetons per cell.

Cell lengths 3.6983, 8.0307, 8.0307 Å; angles 120.00, 90.00, 90.00 degrees
Each line ends with the local moment (μB).
Element x y z (fractional)
Al 0.5000 0.6667 0.3333  0.00
Al 0.5000 0.3333 0.6667  0.00
Tm 0.0000 0.6078 0.6078  -0.02
Tm 0.0000 0.3922 0.0000  -0.02
Tm 0.0000 0.0000 0.3922  -0.02
Sc 0.5000 0.2364 0.2364  -0.03
Sc 0.5000 0.7636 0.0000  -0.03
Sc 0.5000 0.0000 0.7636  -0.03
Fe 0.0000 0.0000 0.0000  0.15

NpTcGe3: optimized geometry, PBE.

## Properties
Its density of states at the Fermi level is 5.2 states/eV/f.u. The calculated total energy is -7.416 eV/atom. The calculation puts the energy of formation from the pure elements at 0.016 eV/atom. The magnetization comes out at 4.17 Bohr magnetons per cell.

Cell lengths 4.9626, 8.6491, 8.6491 Å; angles 95.09, 83.02, 83.02 degrees
Each line ends with the local moment (μB).
Element x y z (fractional)
Ge 0.1772 0.0479 0.6551  0.00
Ge 0.8228 0.9521 0.3449  0.00
Ge 0.9209 0.4466 0.8065  -0.01
Ge 0.6558 0.8907 0.7705  -0.01
Ge 0.3228 0.3449 0.9521  0.00
Ge 0.1558 0.7705 0.8907  -0.01
Ge 0.6772 0.6551 0.0479  0.00
Ge 0.0791 0.5534 0.1935  -0.01
Ge 0.5791 0.1935 0.5534  -0.01
Ge 0.8442 0.2295 0.1093  -0.01
Ge 0.4209 0.8065 0.4466  -0.01
Ge 0.3442 0.1093 0.2295  -0.01
Np 0.4597 0.5546 0.6356  1.08
Np 0.0403 0.3644 0.4454  1.08
Np 0.5403 0.4454 0.3644  1.08
Np 0.9597 0.6356 0.5546  1.08
Tc 0.7500 0.9502 0.0498  -0.04
Tc 0.7500 0.1784 0.8216  0.01
Tc 0.2500 0.0498 0.9502  -0.04
Tc 0.2500 0.8216 0.1784  0.01

HoUSN2: optimized geometry, PBE.

## Properties
Its density of states at the Fermi level is 3.0 states/eV/f.u. The calculated total energy is -8.897 eV/atom. The magnetization comes out at 1.00 Bohr magnetons per cell. Its uncorrected formation energy is -1.568 eV per atom.

Cell lengths 3.7739, 3.7739, 6.5225 Å; angles 106.82, 106.82, 90.00 degrees
Each line ends with the local moment (μB).
Element x y z (fractional)
N 0.7444 0.2444 0.4887  -0.05
N 0.2444 0.7444 0.4887  -0.05
Ho 0.8498 0.8498 0.6995  0.02
S 0.5032 0.5032 0.0064  -0.03
U 0.1583 0.1583 0.3167  1.03

MgMn2Tl: optimized geometry, PBE.

## Properties
Its density of states at the Fermi level is 3.2 states/eV/f.u. The calculated total energy is -5.242 eV/atom. The calculation puts the energy of formation from the pure elements at 0.333 eV/atom. The magnetization comes out at 6.41 Bohr magnetons per cell.

Cell lengths 4.1372, 4.1400, 4.0582 Å; angles 90.00, 90.00, 90.00 degrees
Each line ends with the local moment (μB).
Element x y z (fractional)
Tl 0.5000 0.0000 0.5000  -0.12
Mn 0.0000 0.0000 0.0000  3.23
Mn 0.5000 0.5000 0.0000  3.23
Mg 0.0000 0.5000 0.5000  -0.04

La2NdDyEr: optimized geometry, PBE.

## Properties
Its density of states at the Fermi level is 7.7 states/eV/f.u. The calculated total energy is -4.426 eV/atom. The calculation puts the energy of formation from the pure elements at 0.332 eV/atom. The magnetization comes out at 0.00 Bohr magnetons per cell.

Cell lengths 6.8965, 11.1705, 7.3313 Å; angles 139.63, 90.00, 90.00 degrees
Element x y z (fractional)
Dy 0.2500 0.2481 0.4961
Dy 0.7500 0.7519 0.5039
Nd 0.7500 0.3992 0.7984
Nd 0.2500 0.6008 0.2016
La 0.0000 0.7511 0.0000
La 0.0000 0.2489 0.0000
La 0.5000 0.2489 0.0000
La 0.5000 0.7511 0.0000
Er 0.2500 0.9134 0.8269
Er 0.7500 0.0866 0.1731

Mg2SiMo: optimized geometry, PBE.

## Properties
Its density of states at the Fermi level is 3.9 states/eV/f.u. The calculated total energy is -4.682 eV/atom. The magnetization comes out at 0.26 Bohr magnetons per cell. Its uncorrected formation energy is 0.178 eV per atom.

Cell lengths 9.1564, 9.1564, 9.1564 Å; angles 19.26, 19.26, 19.26 degrees
Each line ends with the local moment (μB).
Element x y z (fractional)
Mo 0.4910 0.4910 0.4910  0.21
Mg 0.0078 0.0078 0.0078  0.00
Mg 0.2430 0.2430 0.2430  0.00
Si 0.7582 0.7582 0.7582  0.01

Gd2NbAg: optimized geometry, PBE.

## Properties
Its density of states at the Fermi level is 4.3 states/eV/f.u. The calculated total energy is -10.215 eV/atom. The calculation puts the energy of formation from the pure elements at 0.056 eV/atom. The magnetization comes out at 14.54 Bohr magnetons per cell.

Cell lengths 3.3366, 3.3366, 8.6991 Å; angles 90.00, 90.00, 90.00 degrees
Each line ends with the local moment (μB).
Element x y z (fractional)
Nb 0.5000 0.5000 0.0000  -0.13
Gd 0.0000 0.0000 0.2496  7.13
Gd 0.0000 0.0000 0.7504  7.13
Ag 0.5000 0.5000 0.5000  0.01

ReTcHg: optimized geometry, PBE.

## Properties
Its density of states at the Fermi level is 2.3 states/eV/f.u. The calculated total energy is -7.133 eV/atom. The calculation puts the energy of formation from the pure elements at 0.572 eV/atom. The magnetization comes out at 0.00 Bohr magnetons per cell.

Cell lengths 7.7621, 7.5247, 2.7997 Å; angles 84.27, 74.70, 21.03 degrees
Element x y z (fractional)
Hg 0.0009 0.0009 0.9991
Tc 0.6781 0.6781 0.3219
Re 0.3209 0.3209 0.6791

Hf2CoSi: optimized geometry, PBE.

## Properties
Its density of states at the Fermi level is 4.5 states/eV/f.u. The calculated total energy is -8.542 eV/atom. The magnetization comes out at 0.00 Bohr magnetons per cell. Its uncorrected formation energy is -0.433 eV per atom.

Cell lengths 3.8922, 3.8923, 5.8522 Å; angles 70.58, 70.58, 60.00 degrees
Element x y z (fractional)
Hf 0.8974 0.6603 0.5451
Hf 0.7004 0.4633 0.1358
Si 0.1250 0.8879 0.8621
Co 0.4875 0.2505 0.7744